Entry from the Alexandria database: PaTaCr2O8 after structural relaxation (GGA+U).

abc: 5.8201 5.8201 5.8201
angles: 110.02 110.02 108.38
Sites, in units of the cell vectors:
Pa1 0.2500 0.7500 0.5000
Ta1 0.0000 0.0000 0.0000
Cr1 0.7500 0.2500 0.5000
Cr2 0.5000 0.5000 0.0000
O1 0.3532 0.0507 0.3025
O2 0.2816 0.4572 0.1756
O3 0.2816 0.1060 0.8244
O4 0.7481 0.0507 0.6975
O5 0.8940 0.7184 0.1756
O6 0.9493 0.2519 0.3025
O7 0.9493 0.6468 0.6975
O8 0.5428 0.7184 0.8244

The value obtained for the total magnetization is 6.000 μB/f.u. Its symmetry is No. 119. The value obtained for the calculated total energy is -105.45 eV per formula unit. Its crystal system is tetragonal.